# meta-GGA SCAN Sn5Sb2S9, PBEsol geometry
data_Sn5Sb2S9
_chemical_formula_sum 'Sn20 Sb8 S36'
_symmetry_space_group_name_H-M 'P 1'
_symmetry_Int_Tables_number 1
_symmetry_space_group_name_Hall 'P 1'
_cell_length_a 11.187
_cell_length_b 11.239
_cell_length_c 11.297
_cell_angle_alpha 90.00
_cell_angle_beta 90.00
_cell_angle_gamma 90.00
loop_
_atom_site_label
_atom_site_fract_x
_atom_site_fract_y
_atom_site_fract_z
Sn1 0.000 0.000 0.000
Sn2 0.000 0.500 0.500
Sn3 0.066 0.160 0.306
Sn4 0.066 0.340 0.806
Sn5 0.154 0.692 0.933
Sn6 0.154 0.808 0.433
Sn7 0.346 0.192 0.933
Sn8 0.346 0.308 0.433
Sn9 0.434 0.660 0.306
Sn10 0.434 0.840 0.806
Sn11 0.500 0.000 0.500
Sn12 0.500 0.500 0.000
Sn13 0.566 0.160 0.194
Sn14 0.566 0.340 0.694
Sn15 0.654 0.692 0.567
Sn16 0.654 0.808 0.067
Sn17 0.846 0.192 0.567
Sn18 0.846 0.308 0.067
Sn19 0.934 0.660 0.194
Sn20 0.934 0.840 0.694
Sb1 0.198 0.055 0.645
Sb2 0.198 0.445 0.145
Sb3 0.302 0.555 0.645
Sb4 0.302 0.945 0.145
Sb5 0.698 0.055 0.855
Sb6 0.698 0.445 0.355
Sb7 0.802 0.555 0.855
Sb8 0.802 0.945 0.355
S1 0.000 0.000 0.500
S2 0.000 0.500 0.000
S3 0.057 0.211 0.055
S4 0.057 0.289 0.555
S5 0.067 0.558 0.711
S6 0.067 0.942 0.211
S7 0.176 0.667 0.174
S8 0.176 0.833 0.674
S9 0.215 0.557 0.442
S10 0.215 0.943 0.942
S11 0.285 0.057 0.442
S12 0.285 0.443 0.942
S13 0.324 0.167 0.174
S14 0.324 0.333 0.674
S15 0.433 0.058 0.711
S16 0.433 0.442 0.211
S17 0.443 0.711 0.055
S18 0.443 0.789 0.555
S19 0.500 0.000 0.000
S20 0.500 0.500 0.500
S21 0.557 0.211 0.445
S22 0.557 0.289 0.945
S23 0.567 0.558 0.789
S24 0.567 0.942 0.289
S25 0.676 0.667 0.326
S26 0.676 0.833 0.826
S27 0.715 0.557 0.058
S28 0.715 0.943 0.558
S29 0.785 0.057 0.058
S30 0.785 0.443 0.558
S31 0.824 0.167 0.326
S32 0.824 0.333 0.826
S33 0.933 0.058 0.789
S34 0.933 0.442 0.289
S35 0.943 0.711 0.445
S36 0.943 0.789 0.945
# raw formation energy: -31.3 kJ/mol of atoms
# space-group type: Pbca
# total moment: 0.00 μB/f.u.
# energy: -1383.90 eV per cell

---

# meta-GGA SCAN TaSb3S, PBEsol geometry
data_TaSb3S
_chemical_formula_sum 'Ta1 Sb3 S1'
_symmetry_space_group_name_H-M 'P 1'
_symmetry_Int_Tables_number 1
_symmetry_space_group_name_Hall 'P 1'
_cell_length_a 5.218
_cell_length_b 5.218
_cell_length_c 5.218
_cell_angle_alpha 90.00
_cell_angle_beta 90.00
_cell_angle_gamma 90.00
loop_
_atom_site_label
_atom_site_fract_x
_atom_site_fract_y
_atom_site_fract_z
Ta1 0.000 0.000 0.000
Sb1 0.000 0.000 0.500
Sb2 0.000 0.500 0.000
Sb3 0.500 0.000 0.000
S1 0.500 0.500 0.500
# raw formation energy: 55.0 kJ/mol of atoms
# space-group type: Pm-3m
# total moment: 0.00 μB/f.u.
# relative energy among the computed polymorphs: 0 meV per atom
# energy: -185.14 eV per cell

---

# meta-GGA SCAN TaSb3S, PBEsol geometry
data_TaSb3S
_chemical_formula_sum 'Ta1 Sb3 S1'
_symmetry_space_group_name_H-M 'P 1'
_symmetry_Int_Tables_number 1
_symmetry_space_group_name_Hall 'P 1'
_cell_length_a 4.972
_cell_length_b 4.972
_cell_length_c 4.972
_cell_angle_alpha 90.00
_cell_angle_beta 90.00
_cell_angle_gamma 90.00
loop_
_atom_site_label
_atom_site_fract_x
_atom_site_fract_y
_atom_site_fract_z
Ta1 0.000 0.000 0.000
Sb1 0.000 0.500 0.500
Sb2 0.500 0.000 0.500
Sb3 0.500 0.500 0.000
S1 0.500 0.500 0.500
# raw formation energy: 111.8 kJ/mol of atoms
# space-group type: Pm-3m
# total moment: 1.94 μB/f.u.
# relative energy among the computed polymorphs: 589 meV per atom
# energy: -182.20 eV per cell

---

# meta-GGA SCAN Ta2SbS, PBEsol geometry
data_Ta2SbS
_chemical_formula_sum 'Ta8 Sb4 S4'
_symmetry_space_group_name_H-M 'P 1'
_symmetry_Int_Tables_number 1
_symmetry_space_group_name_Hall 'P 1'
_cell_length_a 4.852
_cell_length_b 4.852
_cell_length_c 15.217
_cell_angle_alpha 90.00
_cell_angle_beta 90.00
_cell_angle_gamma 90.00
loop_
_atom_site_label
_atom_site_fract_x
_atom_site_fract_y
_atom_site_fract_z
Ta1 0.162 0.250 0.125
Ta2 0.250 0.662 0.375
Ta3 0.250 0.838 0.875
Ta4 0.338 0.250 0.625
Ta5 0.662 0.750 0.625
Ta6 0.750 0.162 0.875
Ta7 0.750 0.338 0.375
Ta8 0.838 0.750 0.125
Sb1 0.000 0.000 0.500
Sb2 0.000 0.500 0.750
Sb3 0.500 0.000 0.250
Sb4 0.500 0.500 0.000
S1 0.000 0.000 0.000
S2 0.000 0.500 0.250
S3 0.500 0.000 0.750
S4 0.500 0.500 0.500
# raw formation energy: 30.9 kJ/mol of atoms
# space-group type: I-42d
# total moment: 0.00 μB/f.u.
# energy: -715.10 eV per cell

---

# meta-GGA SCAN TcSbS2, PBEsol geometry
data_TcSbS2
_chemical_formula_sum 'Tc3 Sb3 S6'
_symmetry_space_group_name_H-M 'P 1'
_symmetry_Int_Tables_number 1
_symmetry_space_group_name_Hall 'P 1'
_cell_length_a 3.068
_cell_length_b 3.068
_cell_length_c 26.878
_cell_angle_alpha 90.00
_cell_angle_beta 90.00
_cell_angle_gamma 120.00
loop_
_atom_site_label
_atom_site_fract_x
_atom_site_fract_y
_atom_site_fract_z
Tc1 0.000 0.000 0.000
Tc2 0.333 0.667 0.667
Tc3 0.667 0.333 0.333
Sb1 0.000 0.000 0.500
Sb2 0.333 0.667 0.167
Sb3 0.667 0.333 0.833
S1 0.000 0.000 0.081
S2 0.000 0.000 0.919
S3 0.333 0.667 0.585
S4 0.333 0.667 0.748
S5 0.667 0.333 0.252
S6 0.667 0.333 0.415
# raw formation energy: 57.1 kJ/mol of atoms
# space-group type: R-3m
# total moment: 0.00 μB/f.u.
# energy: -267.63 eV per cell

---

# meta-GGA SCAN SbTe2S, PBEsol geometry
data_SbTe2S
_chemical_formula_sum 'Sb4 Te8 S4'
_symmetry_space_group_name_H-M 'P 1'
_symmetry_Int_Tables_number 1
_symmetry_space_group_name_Hall 'P 1'
_cell_length_a 7.594
_cell_length_b 7.594
_cell_length_c 7.925
_cell_angle_alpha 90.00
_cell_angle_beta 90.00
_cell_angle_gamma 90.00
loop_
_atom_site_label
_atom_site_fract_x
_atom_site_fract_y
_atom_site_fract_z
Sb1 0.000 0.000 0.000
Sb2 0.000 0.500 0.250
Sb3 0.500 0.000 0.750
Sb4 0.500 0.500 0.500
Te1 0.230 0.750 0.625
Te2 0.250 0.230 0.375
Te3 0.250 0.270 0.875
Te4 0.270 0.750 0.125
Te5 0.730 0.250 0.125
Te6 0.750 0.730 0.875
Te7 0.750 0.770 0.375
Te8 0.770 0.250 0.625
S1 0.000 0.000 0.500
S2 0.000 0.500 0.750
S3 0.500 0.000 0.250
S4 0.500 0.500 0.000
# raw formation energy: 26.9 kJ/mol of atoms
# space-group type: I-42d
# total moment: 0.00 μB/f.u.
# relative energy among the computed polymorphs: 0 meV per atom
# energy: -481.11 eV per cell

---

# meta-GGA SCAN SbTe2S, PBEsol geometry
data_SbTe2S
_chemical_formula_sum 'Sb3 Te6 S3'
_symmetry_space_group_name_H-M 'P 1'
_symmetry_Int_Tables_number 1
_symmetry_space_group_name_Hall 'P 1'
_cell_length_a 3.360
_cell_length_b 3.360
_cell_length_c 30.757
_cell_angle_alpha 90.00
_cell_angle_beta 90.00
_cell_angle_gamma 120.00
loop_
_atom_site_label
_atom_site_fract_x
_atom_site_fract_y
_atom_site_fract_z
Sb1 0.000 0.000 0.000
Sb2 0.333 0.667 0.667
Sb3 0.667 0.333 0.333
Te1 0.000 0.000 0.099
Te2 0.000 0.000 0.901
Te3 0.333 0.667 0.568
Te4 0.333 0.667 0.766
Te5 0.667 0.333 0.234
Te6 0.667 0.333 0.432
S1 0.000 0.000 0.500
S2 0.333 0.667 0.167
S3 0.667 0.333 0.833
# raw formation energy: 33.2 kJ/mol of atoms
# space-group type: R-3m
# total moment: 0.00 μB/f.u.
# relative energy among the computed polymorphs: 65 meV per atom
# energy: -360.05 eV per cell

---

# meta-GGA SCAN TlSb2TeS, PBEsol geometry
data_TlSb2TeS
_chemical_formula_sum 'Tl1 Sb2 Te1 S1'
_symmetry_space_group_name_H-M 'P 1'
_symmetry_Int_Tables_number 1
_symmetry_space_group_name_Hall 'P 1'
_cell_length_a 5.175
_cell_length_b 5.175
_cell_length_c 5.406
_cell_angle_alpha 90.00
_cell_angle_beta 90.00
_cell_angle_gamma 90.00
loop_
_atom_site_label
_atom_site_fract_x
_atom_site_fract_y
_atom_site_fract_z
Tl1 0.000 0.000 0.000
Sb1 0.000 0.500 0.500
Sb2 0.500 0.000 0.500
Te1 0.500 0.500 0.000
S1 0.500 0.500 0.500
# raw formation energy: 41.3 kJ/mol of atoms
# space-group type: P4/mmm
# total moment: 0.00 μB/f.u.
# energy: -191.62 eV per cell

---

# meta-GGA SCAN Tl3SbS, PBEsol geometry
data_Tl3SbS
_chemical_formula_sum 'Tl3 Sb1 S1'
_symmetry_space_group_name_H-M 'P 1'
_symmetry_Int_Tables_number 1
_symmetry_space_group_name_Hall 'P 1'
_cell_length_a 5.333
_cell_length_b 5.333
_cell_length_c 5.333
_cell_angle_alpha 90.00
_cell_angle_beta 90.00
_cell_angle_gamma 90.00
loop_
_atom_site_label
_atom_site_fract_x
_atom_site_fract_y
_atom_site_fract_z
Tl1 0.000 0.000 0.500
Tl2 0.000 0.500 0.000
Tl3 0.500 0.000 0.000
Sb1 0.500 0.500 0.500
S1 0.000 0.000 0.000
# raw formation energy: 27.7 kJ/mol of atoms
# space-group type: Pm-3m
# total moment: 0.00 μB/f.u.
# energy: -262.53 eV per cell

---

# meta-GGA SCAN TlSb2S, PBEsol geometry
data_TlSb2S
_chemical_formula_sum 'Tl4 Sb8 S4'
_symmetry_space_group_name_H-M 'P 1'
_symmetry_Int_Tables_number 1
_symmetry_space_group_name_Hall 'P 1'
_cell_length_a 4.470
_cell_length_b 4.470
_cell_length_c 21.250
_cell_angle_alpha 90.00
_cell_angle_beta 90.00
_cell_angle_gamma 90.00
loop_
_atom_site_label
_atom_site_fract_x
_atom_site_fract_y
_atom_site_fract_z
Tl1 0.000 0.000 0.000
Tl2 0.000 0.500 0.250
Tl3 0.500 0.000 0.750
Tl4 0.500 0.500 0.500
Sb1 0.206 0.250 0.625
Sb2 0.250 0.706 0.875
Sb3 0.250 0.794 0.375
Sb4 0.294 0.250 0.125
Sb5 0.706 0.750 0.125
Sb6 0.750 0.206 0.375
Sb7 0.750 0.294 0.875
Sb8 0.794 0.750 0.625
S1 0.000 0.000 0.500
S2 0.000 0.500 0.750
S3 0.500 0.000 0.250
S4 0.500 0.500 0.000
# raw formation energy: 9.3 kJ/mol of atoms
# space-group type: I-42d
# total moment: 0.00 μB/f.u.
# energy: -624.49 eV per cell

---

# meta-GGA SCAN SbWS3, PBEsol geometry
data_SbWS3
_chemical_formula_sum 'Sb1 W1 S3'
_symmetry_space_group_name_H-M 'P 1'
_symmetry_Int_Tables_number 1
_symmetry_space_group_name_Hall 'P 1'
_cell_length_a 4.649
_cell_length_b 4.649
_cell_length_c 4.649
_cell_angle_alpha 90.00
_cell_angle_beta 90.00
_cell_angle_gamma 90.00
loop_
_atom_site_label
_atom_site_fract_x
_atom_site_fract_y
_atom_site_fract_z
Sb1 0.000 0.000 0.000
W1 0.500 0.500 0.500
S1 0.000 0.500 0.500
S2 0.500 0.000 0.500
S3 0.500 0.500 0.000
# raw formation energy: 21.9 kJ/mol of atoms
# space-group type: Pm-3m
# total moment: 0.00 μB/f.u.
# energy: -134.70 eV per cell

---

# meta-GGA SCAN Y3SbS, PBEsol geometry
data_Y3SbS
_chemical_formula_sum 'Y3 Sb1 S1'
_symmetry_space_group_name_H-M 'P 1'
_symmetry_Int_Tables_number 1
_symmetry_space_group_name_Hall 'P 1'
_cell_length_a 5.078
_cell_length_b 5.078
_cell_length_c 5.078
_cell_angle_alpha 90.00
_cell_angle_beta 90.00
_cell_angle_gamma 90.00
loop_
_atom_site_label
_atom_site_fract_x
_atom_site_fract_y
_atom_site_fract_z
Y1 0.000 0.000 0.500
Y2 0.000 0.500 0.000
Y3 0.500 0.000 0.000
Sb1 0.500 0.500 0.500
S1 0.000 0.000 0.000
# raw formation energy: -99.3 kJ/mol of atoms
# space-group type: Pm-3m
# total moment: 1.54 μB/f.u.
# energy: -135.56 eV per cell